Entry from OQMD: crystalline PmPdO3 at its relaxed geometry (PBE-GGA).

Computed properties:
Its calculated volume is 82.7 Å³/f.u.

Structure (CIF):
```
data_PmPdO3
_cell_length_a 4.1873
_cell_length_b 4.1873
_cell_length_c 4.7141
_cell_angle_alpha 90.00
_cell_angle_beta 90.00
_cell_angle_gamma 90.00
_symmetry_space_group_name_H-M 'P 4 m m'
_symmetry_Int_Tables_number 99
_symmetry_space_group_name_Hall 'P 4 -2'
loop_
_atom_site_label
_atom_site_type_symbol
_atom_site_fract_x
_atom_site_fract_y
_atom_site_fract_z
_atom_site_occupancy
Pm1 Pm 0.0000 0.0000 0.0000 1
Pd1 Pd 0.5000 0.5000 0.7167 1
O1 O 0.0000 0.0000 0.4698 1
O2 O 0.0000 0.5000 0.8175 1
```

Entry from OQMD: crystalline Pm4Pd4O11 at its relaxed geometry (PBE-GGA).

Computed properties:
Its calculated volume is 247.6 Å³/f.u. As for the energy above the most stable polymorph in this dataset: 0 meV per atom.

Structure (CIF):
```
data_Pm4Pd4O11
_cell_length_a 5.4503
_cell_length_b 6.0177
_cell_length_c 7.5493
_cell_angle_alpha 90.03
_cell_angle_beta 90.28
_cell_angle_gamma 90.63
_symmetry_space_group_name_H-M 'P 1'
_symmetry_Int_Tables_number 1
_symmetry_space_group_name_Hall 'P 1'
loop_
_atom_site_label
_atom_site_type_symbol
_atom_site_fract_x
_atom_site_fract_y
_atom_site_fract_z
_atom_site_occupancy
Pm1 Pm 0.0000 0.0000 0.0000 1
Pm2 Pm 0.0494 0.1650 0.4989 1
Pm3 Pm 0.4694 0.6467 0.5202 1
Pm4 Pm 0.5240 0.4756 0.0188 1
Pd1 Pd 0.0016 0.5774 0.7590 1
Pd2 Pd 0.5196 0.0662 0.7532 1
Pd3 Pd 0.5310 0.0483 0.2545 1
Pd4 Pd 0.9853 0.5857 0.2549 1
O1 O 0.1294 0.6218 0.0096 1
O2 O 0.1879 0.8858 0.7031 1
O3 O 0.1952 0.8783 0.3091 1
O4 O 0.3195 0.3761 0.7145 1
O5 O 0.3462 0.3935 0.3128 1
O6 O 0.4029 0.1095 0.0067 1
O7 O 0.6573 0.0017 0.5048 1
O8 O 0.6939 0.7644 0.8369 1
O9 O 0.8263 0.2674 0.8114 1
O10 O 0.8374 0.2599 0.2017 1
O11 O 0.8700 0.5258 0.5066 1
```

Entry from OQMD: crystalline Pm4Pd4O11 at its relaxed geometry (PBE-GGA).

Computed properties:
Its calculated volume is 245.2 Å³/f.u. As for the energy above the most stable polymorph in this dataset: 13 meV per atom.

Structure (CIF):
```
data_Pm4Pd4O11
_cell_length_a 5.4331
_cell_length_b 7.5284
_cell_length_c 5.9954
_cell_angle_alpha 90.00
_cell_angle_beta 90.14
_cell_angle_gamma 90.00
_symmetry_space_group_name_H-M 'P 1 m 1'
_symmetry_Int_Tables_number 6
_symmetry_space_group_name_Hall 'P -2y'
loop_
_atom_site_label
_atom_site_type_symbol
_atom_site_fract_x
_atom_site_fract_y
_atom_site_fract_z
_atom_site_occupancy
Pm1 Pm 0.0000 0.0000 0.0000 1
Pm2 Pm 0.0390 0.5000 0.8358 1
Pm3 Pm 0.5004 0.5000 0.3200 1
Pm4 Pm 0.5635 0.0000 0.4937 1
Pd1 Pd 0.0289 0.2481 0.4139 1
Pd2 Pd 0.5204 0.2240 0.9110 1
O1 O 0.1595 0.0000 0.3696 1
O2 O 0.2106 0.2946 0.0992 1
O3 O 0.3492 0.2925 0.6045 1
O4 O 0.6373 0.5000 0.9548 1
O5 O 0.7112 0.1898 0.2172 1
O6 O 0.8455 0.1919 0.7250 1
O7 O 0.9008 0.5000 0.4597 1
```

Number 1: VASP energy -6.245 eV per atom. Number 2: VASP energy -6.855 eV per atom. Number 3: VASP energy -6.843 eV per atom.